# Ac2IBr5 GGA-PBE relaxed
data_Ac2IBr5
_chemical_formula_sum 'Ac4 I2 Br10'
_symmetry_space_group_name_H-M 'I m m m'
_symmetry_Int_Tables_number 71
_symmetry_space_group_name_Hall '-I 2 2'
_cell_length_a 5.0785
_cell_length_b 9.4298
_cell_length_c 11.9019
_cell_angle_alpha 90.00
_cell_angle_beta 90.00
_cell_angle_gamma 90.00
loop_
_atom_site_label
_atom_site_type_symbol
_atom_site_fract_x
_atom_site_fract_y
_atom_site_fract_z
Ac1 Ac 0.0000 0.0000 0.2503
I1 I 0.0000 0.5000 0.0000
Br1 Br 0.0000 0.0000 0.0000
Br2 Br 0.0000 0.3164 0.3345
# formation energy (no corrections): -1859 meV per atom
# N(E_F): 0.000 states/eV/f.u.
# calculated total energy: -4.125 eV per atom

***

# AcIBr GGA-PBE relaxed
data_AcIBr
_chemical_formula_sum 'Ac1 I1 Br1'
_symmetry_space_group_name_H-M 'P 3 m 1'
_symmetry_Int_Tables_number 156
_symmetry_space_group_name_Hall 'P 3 -2"'
_cell_length_a 5.4599
_cell_length_b 5.4599
_cell_length_c 4.1769
_cell_angle_alpha 90.00
_cell_angle_beta 90.00
_cell_angle_gamma 120.00
loop_
_atom_site_label
_atom_site_type_symbol
_atom_site_fract_x
_atom_site_fract_y
_atom_site_fract_z
Ac1 Ac 0.0000 0.0000 0.0000
I1 I 0.6667 0.3333 0.3673
Br1 Br 0.3333 0.6667 0.8538
# formation energy (no corrections): -1425 meV per atom
# polymorph energy (0 for the lowest one): 19 kJ/mol of formula units
# N(E_F): 1.421 states/eV/f.u.
# calculated total energy: -3.868 eV per atom

***

# AcI2Br GGA-PBE relaxed
data_AcI2Br
_chemical_formula_sum 'Ac2 I4 Br2'
_symmetry_space_group_name_H-M 'P 1 21/m 1'
_symmetry_Int_Tables_number 11
_symmetry_space_group_name_Hall '-P 2yb'
_cell_length_a 4.5605
_cell_length_b 10.2245
_cell_length_c 8.1487
_cell_angle_alpha 90.00
_cell_angle_beta 106.20
_cell_angle_gamma 90.00
loop_
_atom_site_label
_atom_site_type_symbol
_atom_site_fract_x
_atom_site_fract_y
_atom_site_fract_z
Ac1 Ac 0.2422 0.2500 0.4843
I1 I 0.1492 0.5626 0.2978
Br1 Br 0.3872 0.7500 0.7755
# formation energy (no corrections): -1733 meV per atom
# polymorph energy (0 for the lowest one): 0 kJ/mol of formula units
# N(E_F): 0.000 states/eV/f.u.
# calculated total energy: -3.953 eV per atom

***

Q: What is the N(E_F) in the second record?
A: 1.421 states/eV/f.u.